Record 1
Al2HRh2 | PBE | relaxed

The space group is I4/mmm (No. 139) and the conventional cell measures 3.701, 3.701 and 11.533 Å, with angles of 90.00, 90.00 and 90.00 degrees. Symmetry generates all atoms from Al at (0.000, 0.500, 0.250), H at (0.000, 0.000, 0.000) and Rh at (0.000, 0.000, 0.389).

The magnetization comes out at 0.00 μB per formula unit.


Record 2
AlH2Rh | PBE | relaxed

The space group is R-3m (No. 166, hexagonal axes) and the conventional cell measures 3.0972, 3.0972 and 13.5447 Å, with angles of 90.00, 90.00 and 120.00 degrees. Symmetry generates all atoms from Al at (0.0000, 0.0000, 0.0000), H at (0.0000, 0.0000, 0.1390) and Rh at (0.0000, 0.0000, 0.5000).

The magnetization comes out at 0.00 μB per formula unit.


Electronic total energy across the listed records, respectively: -4.92, -4.44 eV per atom.
ΔE to the lowest computed polymorph across the listed records, respectively: 61.7, 7.1 kJ per mole of atoms.